(1)
TlReTcMo2 PBE optimized geometry; calculated volume = 116.9 Å³/f.u.; ΔH_f (0 K) = 2.0028 eV/atom; calculated total energy = -36.8 eV for the cell shown; SG = No. 123; magnetic moment = 1.00 μB/f.u.
1.0
4.7726 0.0000 0.0000
0.0000 4.7726 0.0000
0.0000 0.0000 5.1316
Tl Re Tc Mo
1 1 1 2
Direct
0.0000 0.0000 0.0000
0.0000 0.0000 0.5000
0.5000 0.5000 0.0000
0.0000 0.5000 0.5000
0.5000 0.0000 0.5000



(2)
BeB PBE optimized geometry; calculated volume = 15.4 Å³/f.u.; distance to the lowest polymorph of the same formula = 130.4 meV/atom; ΔH_f (0 K) = 0.1608 eV/atom; calculated total energy = -10.1 eV for the cell shown; SG = No. 187; magnetic moment = 0.00 μB/f.u.
1.0
3.1216 0.0000 0.0000
-1.5608 2.7033 0.0000
0.0000 0.0000 1.8256
Be B
1 1
Direct
0.0000 0.0000 0.0000
0.6667 0.3333 0.5000



(3)
CrIn2Au PBE optimized geometry; calculated volume = 84.3 Å³/f.u.; distance to the lowest polymorph of the same formula = 127.7 meV/atom; ΔH_f (0 K) = 0.2435 eV/atom; calculated total energy = -17.4 eV for the cell shown; SG = No. 12; magnetic moment = 3.95 μB/f.u.
1.0
3.0788 -4.8988 0.0000
3.0788 4.8988 0.0000
-1.7187 0.0000 2.7933
Cr In Au
1 2 1
Direct
0.0000 0.0000 0.0000
0.0000 0.5000 0.0000
0.5000 0.0000 0.0000
0.5000 0.5000 0.0000



(4)
K2Np3PdO12 PBE optimized geometry; calculated volume = 320.3 Å³/f.u.; calculated total energy = -145.8 eV for the cell shown; SG = No. 166; magnetic moment = 3.03 μB/f.u.
1.0
3.9404 2.2750 5.9548
-3.9404 2.2750 5.9548
0.0000 -4.5500 5.9548
K Np Pd O
2 3 1 12
Direct
0.1351 0.1351 0.1351
0.8649 0.8649 0.8649
0.0000 0.5000 0.5000
0.5000 0.0000 0.5000
0.5000 0.5000 0.0000
0.5000 0.5000 0.5000
0.1799 0.1799 0.5641
0.1799 0.5641 0.1799
0.1795 0.5676 0.5676
0.4324 0.4324 0.8205
0.4324 0.8205 0.4324
0.4359 0.8201 0.8201
0.5641 0.1799 0.1799
0.5676 0.1795 0.5676
0.5676 0.5676 0.1795
0.8205 0.4324 0.4324
0.8201 0.4359 0.8201
0.8201 0.8201 0.4359



(5)
LaZn6Ag2 PBE optimized geometry; calculated volume = 174.2 Å³/f.u.; ΔH_f (0 K) = -0.1133 eV/atom; calculated total energy = -19.3 eV for the cell shown; SG = No. 71; magnetic moment = 0.00 μB/f.u.
1.0
-2.0842 3.4146 6.1198
2.0842 -3.4146 6.1198
2.0842 3.4146 -6.1198
La Zn Ag
1 6 2
Direct
0.0000 0.0000 0.0000
0.0111 0.3081 0.7030
0.3226 0.5000 0.8226
0.3948 0.6919 0.7030
0.6052 0.3081 0.2970
0.6774 0.5000 0.1774
0.9889 0.6919 0.2970
0.3801 0.8801 0.5000
0.6199 0.1199 0.5000



(6)
Ce4Ge5Ir3 PBE optimized geometry; calculated volume = 256.4 Å³/f.u.; ΔH_f (0 K) = -0.5862 eV/atom; calculated total energy = -80.4 eV for the cell shown; SG = No. 12; magnetic moment = 2.51 μB/f.u.
1.0
5.4038 -2.3459 0.0000
5.4038 2.3459 0.0000
-5.1389 0.0000 10.1147
Ce Ge Ir
4 5 3
Direct
0.1446 0.1446 0.0021
0.1570 0.1570 0.3377
0.8430 0.8430 0.6623
0.8554 0.8554 0.9979
0.1781 0.1781 0.7413
0.4442 0.4442 0.8663
0.5000 0.5000 0.5000
0.5558 0.5558 0.1337
0.8219 0.8219 0.2587
0.0000 0.0000 0.5000
0.3887 0.3887 0.2268
0.6113 0.6113 0.7732



(7)
Mn2FeSb PBE optimized geometry; calculated volume = 56.4 Å³/f.u.; calculated total energy = -30.5 eV for the cell shown; SG = No. 139; magnetic moment = 7.34 μB/f.u.
1.0
-1.9571 1.9571 3.6792
1.9571 -1.9571 3.6792
1.9571 1.9571 -3.6792
Mn Fe Sb
2 1 1
Direct
0.2500 0.7500 0.5000
0.7500 0.2500 0.5000
0.0000 0.0000 0.0000
0.5000 0.5000 0.0000



(8)
Ce3Re PBE optimized geometry; calculated volume = 88.9 Å³/f.u.; ΔH_f (0 K) = 0.2158 eV/atom; calculated total energy = -29.4 eV for the cell shown; SG = No. 225; magnetic moment = 1.09 μB/f.u.
1.0
0.0000 3.5423 3.5423
3.5423 0.0000 3.5423
3.5423 3.5423 0.0000
Ce Re
3 1
Direct
0.0000 0.0000 0.0000
0.2500 0.2500 0.2500
0.7500 0.7500 0.7500
0.5000 0.5000 0.5000



(9)
Rb2CuSe2 PBE optimized geometry; calculated volume = 143.4 Å³/f.u.; calculated total energy = -30.6 eV for the cell shown; SG = No. 127; magnetic moment = 0.00 μB/f.u.
1.0
7.2750 0.0000 0.0000
0.0000 7.2750 0.0000
0.0000 0.0000 5.4199
Rb Cu Se
4 2 4
Direct
0.1558 0.3442 0.0000
0.3442 0.8442 0.0000
0.6558 0.1558 0.0000
0.8442 0.6558 0.0000
0.0000 0.0000 0.5000
0.5000 0.5000 0.5000
0.1695 0.6695 0.5000
0.3305 0.1695 0.5000
0.6695 0.8305 0.5000
0.8305 0.3305 0.5000